Entry 1:
Computed, not measured: an optimized crystal structure of YHg2Te at the PBE level of DFT.

Properties
**Raw formation energy**: -490.8 meV per atom
**Size of the total moment**: 0.00 μB/cell
**DOS(E_F)**: 2.96 states/eV per cell

Cell: 8.7092 8.7092 8.7092 Å, 28.10 28.10 28.10°
Closest atoms and distances in Å follow each position.
Sites, in units of the cell vectors:
1 Y 0.0000 0.0000 0.0000  3 Te 2.98, 3 Hg 3.22
2 Hg 0.4914 0.4914 0.4914  3 Hg 3.07
3 Hg 0.7504 0.7504 0.7504  3 Hg 3.07, 3 Y 3.22
4 Te 0.2653 0.2653 0.2653  3 Y 2.98

Entry 2:
Computed, not measured: an optimized crystal structure of YHgTe2 at the PBE level of DFT.

Properties
**Raw formation energy**: -890.8 meV per atom
**Size of the total moment**: 0.00 μB/cell
**DOS(E_F)**: 0.00 states/eV per cell
**Excess energy over the best structure of this formula in the dataset**: 0.03 eV/f.u.

Cell: 4.3380 6.1618 10.9959 Å, 104.48 90.25 90.00°
Closest atoms and distances in Å follow each position.
Sites, in units of the cell vectors:
1 Y 0.0000 0.0000 0.0000  6 Te 3.06-3.12
2 Y 0.4961 0.4088 0.7798  6 Te 3.08-3.13
3 Hg 0.4854 0.5492 0.4870  1 Hg 2.68, 1 Te 2.97
4 Hg 0.4976 0.8501 0.3479  1 Hg 2.68, 1 Te 2.75
5 Te 0.4974 0.9139 0.7899  4 Y 3.08-3.12
6 Te 0.5024 0.1489 0.1996  1 Hg 2.75, 2 Y 3.06
7 Te 0.9934 0.2835 0.5688  2 Hg 2.97-3.01, 2 Y 3.13
8 Te 0.9988 0.4989 0.9876  4 Y 3.06-3.11

Entry 3:
Computed, not measured: an optimized crystal structure of YHgTe2 at the PBE level of DFT.

Properties
**Raw formation energy**: -745.1 meV per atom
**Size of the total moment**: 0.00 μB/cell
**DOS(E_F)**: 5.61 states/eV per cell
**Excess energy over the best structure of this formula in the dataset**: 0.61 eV/f.u.

Cell: 10.9218 5.9773 8.3089 Å, 90.00 90.00 90.00°
Closest atoms and distances in Å follow each position.
Sites, in units of the cell vectors:
1 Y 0.0549 0.2500 0.1833  5 Te 3.01-3.10, 1 Hg 3.26
2 Y 0.4451 0.7500 0.6833  5 Te 3.01-3.10, 1 Hg 3.26
3 Y 0.5549 0.2500 0.3167  5 Te 3.01-3.10, 1 Hg 3.26
4 Y 0.9451 0.7500 0.8167  5 Te 3.01-3.10, 1 Hg 3.26
5 Hg 0.2146 0.2500 0.5142  3 Te 3.10-3.14, 1 Y 3.26
6 Hg 0.2854 0.7500 0.0142  3 Te 3.10-3.14, 1 Y 3.26
7 Hg 0.7146 0.2500 0.9858  3 Te 3.10-3.14, 1 Y 3.26
8 Hg 0.7854 0.7500 0.4858  3 Te 3.10-3.14, 1 Y 3.26
9 Te 0.0221 0.7500 0.1665  3 Y 3.01-3.03, 1 Hg 3.14
10 Te 0.1737 0.7500 0.5961  2 Y 3.05-3.10, 2 Hg 3.10
11 Te 0.3263 0.2500 0.0961  2 Y 3.05-3.10, 2 Hg 3.10
12 Te 0.4779 0.2500 0.6665  3 Y 3.01-3.03, 1 Hg 3.14
13 Te 0.5221 0.7500 0.3335  3 Y 3.01-3.03, 1 Hg 3.14
14 Te 0.6737 0.7500 0.9039  2 Y 3.05-3.10, 2 Hg 3.10
15 Te 0.8263 0.2500 0.4039  2 Y 3.05-3.10, 2 Hg 3.10
16 Te 0.9779 0.2500 0.8335  3 Y 3.01-3.03, 1 Hg 3.14

Entry 4:
Computed, not measured: an optimized crystal structure of YHgTe2 at the PBE level of DFT.

Properties
**Raw formation energy**: -810.3 meV per atom
**Size of the total moment**: 0.00 μB/cell
**DOS(E_F)**: 1.40 states/eV per cell
**Excess energy over the best structure of this formula in the dataset**: 0.35 eV/f.u.

Cell: 8.1126 8.1126 15.9280 Å, 96.86 96.86 91.91°
Closest atoms and distances in Å follow each position.
Sites, in units of the cell vectors:
1 Y 0.0596 0.9048 0.8765  6 Te 3.05-3.21, 1 Hg 3.20
2 Y 0.0952 0.9404 0.6235  6 Te 3.05-3.21, 1 Hg 3.20
3 Y 0.1710 0.3764 0.8088  6 Te 3.09-3.20, 1 Hg 3.11
4 Y 0.3764 0.1710 0.3088  6 Te 3.09-3.20, 1 Hg 3.11
5 Y 0.6236 0.8290 0.6912  6 Te 3.09-3.20, 1 Hg 3.11
6 Y 0.8290 0.6236 0.1912  6 Te 3.09-3.20, 1 Hg 3.11
7 Y 0.9048 0.0596 0.3765  6 Te 3.05-3.21, 1 Hg 3.20
8 Y 0.9404 0.0952 0.1235  6 Te 3.05-3.21, 1 Hg 3.20
9 Hg 0.1581 0.3285 0.6116  2 Te 3.06-3.12, 2 Y 3.11-3.20
10 Hg 0.3010 0.6169 0.1023  2 Te 2.82-2.88
11 Hg 0.3285 0.1581 0.1116  2 Te 3.06-3.12, 2 Y 3.11-3.20
12 Hg 0.3831 0.6990 0.3977  2 Te 2.82-2.88
13 Hg 0.6169 0.3010 0.6023  2 Te 2.82-2.88
14 Hg 0.6715 0.8419 0.8884  2 Te 3.06-3.12, 2 Y 3.11-3.20
15 Hg 0.6990 0.3831 0.8977  2 Te 2.82-2.88
16 Hg 0.8419 0.6715 0.3884  2 Te 3.06-3.12, 2 Y 3.11-3.20
17 Te 0.0384 0.3502 0.2796  4 Y 3.05-3.20
18 Te 0.0700 0.2595 0.9739  2 Hg 3.06-3.34, 3 Y 3.09-3.14
19 Te 0.1341 0.8659 0.2500  4 Y 3.09-3.21, 2 Hg 3.35
20 Te 0.2595 0.0700 0.4739  2 Hg 3.06-3.34, 3 Y 3.09-3.14
21 Te 0.3185 0.6535 0.5639  2 Hg 2.82-3.12, 1 Y 3.12
22 Te 0.3465 0.6815 0.9361  2 Hg 2.82-3.12, 1 Y 3.12
23 Te 0.3502 0.0384 0.7796  4 Y 3.05-3.20
24 Te 0.4889 0.5111 0.2500  2 Hg 2.88, 2 Y 3.16
25 Te 0.5111 0.4889 0.7500  2 Hg 2.88, 2 Y 3.16
26 Te 0.6498 0.9616 0.2204  4 Y 3.05-3.20
27 Te 0.6535 0.3185 0.0639  2 Hg 2.82-3.12, 1 Y 3.12
28 Te 0.6815 0.3465 0.4361  2 Hg 2.82-3.12, 1 Y 3.12
29 Te 0.7405 0.9300 0.5261  2 Hg 3.06-3.34, 3 Y 3.09-3.14
30 Te 0.8659 0.1341 0.7500  4 Y 3.09-3.21, 2 Hg 3.35
31 Te 0.9300 0.7405 0.0261  2 Hg 3.06-3.34, 3 Y 3.09-3.14
32 Te 0.9616 0.6498 0.7204  4 Y 3.05-3.20

In eV for the cell shown, the raw total energy values for the records above are, in order, -12.2, -33.2, -64.1, -130.3.